## w
The following is a PBE calculation of a relaxed Li3CaTl3 crystal, from the Alexandria database.

Space-group type ... Pm-3n
Spin magnetization ... 0.0 μB/f.u.

Cell lengths 7.330, 7.330, 7.330 Å; angles 90.00, 90.00, 90.00 degrees
Fractional coordinates of all 14 atoms:
Li: 0.750 0.500 0.000
Ca: 0.500 0.500 0.500
Tl: 0.750 0.000 0.500
Li: 0.000 0.750 0.500
Tl: 0.250 0.000 0.500
Li: 0.500 0.000 0.750
Ca: 0.000 0.000 0.000
Tl: 0.500 0.250 0.000
Li: 0.000 0.250 0.500
Tl: 0.000 0.500 0.250
Li: 0.250 0.500 0.000
Tl: 0.500 0.750 0.000
Tl: 0.000 0.500 0.750
Li: 0.500 0.000 0.250

## x
The following is a PBE calculation of a relaxed Li3CaTl3 crystal, from the Alexandria database.

Space-group type ... R-3
Spin magnetization ... 0.0 μB/f.u.

Cell lengths 8.450, 8.450, 7.403 Å; angles 55.20, 55.20, 60.00 degrees
Fractional coordinates of all 14 atoms:
Ca: 0.671 0.671 0.986
Tl: 0.240 0.878 0.350
Li: 0.949 0.199 0.166
Li: 0.199 0.687 0.166
Li: 0.687 0.949 0.166
Li: 0.801 0.313 0.834
Ca: 0.329 0.329 0.014
Li: 0.051 0.801 0.834
Tl: 0.468 0.760 0.650
Tl: 0.878 0.532 0.350
Li: 0.313 0.051 0.834
Tl: 0.122 0.468 0.650
Tl: 0.760 0.122 0.650
Tl: 0.532 0.240 0.350

Referenced to the most stable arrangement, the calculated values in kJ/mol of atoms are w 24.9; x 0.0.

## w
The following is a PBE calculation of a relaxed Li2CaTm crystal, from the Alexandria database.

Space-group type ... P4/mmm
Spin magnetization ... 0.0 μB/f.u.

Cell lengths 3.766, 3.766, 7.722 Å; angles 90.00, 90.00, 90.00 degrees
Fractional coordinates of all 4 atoms:
Li: 0.000 0.000 0.767
Li: 0.000 0.000 0.233
Tm: 0.500 0.500 0.000
Ca: 0.500 0.500 0.500

## x
The following is a PBE calculation of a relaxed Li2CaTm crystal, from the Alexandria database.

Space-group type ... Fm-3m
Spin magnetization ... 0.0 μB/f.u.

Cell lengths 5.364, 5.364, 5.364 Å; angles 60.00, 60.00, 60.00 degrees
Fractional coordinates of all 4 atoms:
Tm: 0.000 0.000 0.000
Ca: 0.500 0.500 0.500
Li: 0.250 0.250 0.250
Li: 0.750 0.750 0.750

Referenced to the most stable arrangement, the calculated values in kJ/mol of atoms are w 0.0; x 3.8.

## w
The following is a PBE calculation of a relaxed LiCa2Tm crystal, from the Alexandria database.

Space-group type ... R-3m
Spin magnetization ... 0.6 μB/f.u.

Cell lengths 3.560, 3.560, 12.638 Å; angles 81.90, 81.90, 60.00 degrees
Each line ends with the local moment (μB).
Fractional coordinates of all 4 atoms:
Ca: 0.091 0.091 0.728  0.02
Ca: 0.909 0.909 0.272  0.02
Tm: 0.000 0.000 0.000  0.31
Li: 0.500 0.500 0.500  0.00

## x
The following is a PBE calculation of a relaxed LiCa2Tm crystal, from the Alexandria database.

Space-group type ... P4/mmm
Spin magnetization ... 0.0 μB/f.u.

Cell lengths 4.043, 4.043, 8.049 Å; angles 90.00, 90.00, 90.00 degrees
Fractional coordinates of all 4 atoms:
Tm: 0.500 0.500 0.500
Li: 0.500 0.500 0.000
Ca: 0.000 0.000 0.764
Ca: 0.000 0.000 0.236

Referenced to the most stable arrangement, the calculated values in kJ/mol of atoms are w 15.9; x 0.0.

## w
The following is a PBE calculation of a relaxed LiCaTm crystal, from the Alexandria database.

Space-group type ... I4mm
Spin magnetization ... 0.0 μB/f.u.

Cell lengths 3.708, 3.708, 7.045 Å; angles 105.26, 105.26, 90.00 degrees
Fractional coordinates of all 3 atoms:
Tm: 0.313 0.313 0.625
Li: 0.672 0.672 0.344
Ca: 0.016 0.016 0.031

## x
The following is a PBE calculation of a relaxed LiCaTm crystal, from the Alexandria database.

Space-group type ... P4/nmm
Spin magnetization ... 0.0 μB/f.u.

Cell lengths 3.695, 3.695, 14.253 Å; angles 105.05, 105.05, 89.93 degrees
Fractional coordinates of all 6 atoms:
Tm: 0.831 0.831 0.582
Ca: 0.470 0.470 0.220
Tm: 0.169 0.169 0.418
Li: 0.800 0.800 0.050
Ca: 0.530 0.530 0.780
Li: 0.200 0.200 0.950

## y
The following is a PBE calculation of a relaxed LiCaTm crystal, from the Alexandria database.

Space-group type ... P3m1
Spin magnetization ... 0.0 μB/f.u.

Cell lengths 3.553, 3.553, 8.526 Å; angles 90.00, 90.00, 120.00 degrees
Fractional coordinates of all 3 atoms:
Li: 0.667 0.333 0.324
Ca: 0.333 0.667 0.660
Tm: 0.000 0.000 0.017

Referenced to the most stable arrangement, the calculated values in kJ/mol of atoms are w 9.4; x 0.0; y 12.8.

## w
The following is a PBE calculation of a relaxed LiCaV crystal, from the Alexandria database.

Space-group type ... Cmcm
Spin magnetization ... 4.2 μB/f.u.

Cell lengths 8.768, 6.725, 5.076 Å; angles 90.00, 90.00, 90.00 degrees
Each line ends with the local moment (μB).
Fractional coordinates of all 12 atoms:
Ca: 0.000 0.000 0.000  0.12
Li: 0.167 0.250 0.500  0.03
V: 0.166 0.750 0.500  2.97
Ca: 0.500 0.500 0.500  0.12
V: 0.834 0.250 0.500  2.97
Li: 0.833 0.750 0.500  0.03
Ca: 0.000 0.500 0.000  0.12
Li: 0.667 0.250 0.000  0.03
V: 0.666 0.750 0.000  2.97
Ca: 0.500 0.000 0.500  0.12
Li: 0.333 0.750 0.000  0.03
V: 0.334 0.250 0.000  2.97

## x
The following is a PBE calculation of a relaxed LiCaV crystal, from the Alexandria database.

Space-group type ... F-43m
Spin magnetization ... 4.9 μB/f.u.

Cell lengths 5.110, 5.110, 5.110 Å; angles 60.00, 60.00, 60.00 degrees
Each line ends with the local moment (μB).
Fractional coordinates of all 3 atoms:
V: 0.750 0.750 0.750  3.19
Li: 0.250 0.250 0.250  0.03
Ca: 0.000 0.000 0.000  0.22

## y
The following is a PBE calculation of a relaxed LiCaV crystal, from the Alexandria database.

Space-group type ... F-43m
Spin magnetization ... 4.8 μB/f.u.

Cell lengths 5.056, 5.056, 5.056 Å; angles 60.00, 60.00, 60.00 degrees
Each line ends with the local moment (μB).
Fractional coordinates of all 3 atoms:
V: 0.500 0.500 0.500  3.19
Li: 0.250 0.250 0.250  0.04
Ca: 0.750 0.750 0.750  0.20

Referenced to the most stable arrangement, the calculated values in kJ/mol of atoms are w 0.0; x 43.8; y 27.6.

## w
The following is a PBE calculation of a relaxed LiCaV crystal, from the Alexandria database.

Space-group type ... P-1
Spin magnetization ... 0.0 μB/f.u.

Cell lengths 6.141, 7.586, 3.224 Å; angles 85.10, 80.37, 66.52 degrees
Fractional coordinates of all 6 atoms:
Li: 0.065 0.341 0.778
Li: 0.935 0.659 0.222
Ca: 0.000 0.000 0.500
V: 0.518 0.887 0.865
Ca: 0.500 0.500 0.500
V: 0.482 0.113 0.135

## x
The following is a PBE calculation of a relaxed LiCaV crystal, from the Alexandria database.

Space-group type ... P6_3/mmc
Spin magnetization ... 4.2 μB/f.u.

Cell lengths 5.332, 5.332, 6.258 Å; angles 90.00, 90.00, 120.00 degrees
Each line ends with the local moment (μB).
Fractional coordinates of all 6 atoms:
Li: 0.000 0.000 0.500  0.00
Li: 0.000 0.000 0.000  0.00
Ca: 0.667 0.333 0.250  0.16
V: 0.333 0.667 0.250  3.00
V: 0.667 0.333 0.750  3.00
Ca: 0.333 0.667 0.750  0.16

Referenced to the most stable arrangement, the calculated values in kJ/mol of atoms are w 0.0; x 34.3.